1.
First-principles (PBE) data for SrHf3Br after structural relaxation, as listed in Alexandria.

Properties
E (eV for the cell shown): -22.69
SG: Pm-3m (221)
Energy above the lowest structure with this stoichiometry (meV/atom): 1555.8

Unit cell a=5.340 b=5.340 c=5.340 alpha=90.00 beta=90.00 gamma=90.00
Fractional coordinates of all 5 atoms:
Sr  0.000  0.000  0.000
Hf  0.000  0.000  0.500
Hf  0.000  0.500  0.000
Hf  0.500  0.000  0.000
Br  0.500  0.500  0.500

=====

2.
First-principles (PBE) data for Ac2Ag4Sn3Hg after structural relaxation, as listed in Alexandria.

Properties
E (eV for the cell shown): -35.84
SG: P-4m2 (115)
Energy of formation from the pure elements (meV/atom): -391

Unit cell a=4.701 b=4.701 c=11.722 alpha=90.00 beta=90.00 gamma=90.00
Fractional coordinates of all 10 atoms:
Ac  0.000  0.500  0.243
Ac  0.500  0.000  0.757
Ag  0.000  0.000  0.000
Ag  0.000  0.500  0.638
Ag  0.500  0.000  0.362
Ag  0.500  0.500  0.000
Sn  0.000  0.500  0.867
Sn  0.500  0.000  0.133
Sn  0.500  0.500  0.500
Hg  0.000  0.000  0.500

=====

Across the entries above, N(E_F) takes the values 1.655; 0.458 states/eV per atom, respectively.